{
  "formula": "FePOs2",
  "functional": "GGA-PBEsol",
  "state": "relaxed",
  "lattice_angstrom": [[2.8266, 0.0000, 0.0000], [0.0000, 4.7215, 0.0000], [0.0000, 0.0000, 8.0417]],
  "species": ["Fe", "Fe", "P", "P", "Os", "Os", "Os", "Os"],
  "frac_coords": [[0.0000, 0.0000, 0.0000], [0.5000, 0.5000, 0.0000], [0.0000, 0.0000, 0.5000], [0.5000, 0.5000, 0.5000], [0.0000, 0.5000, 0.2680], [0.0000, 0.5000, 0.7320], [0.5000, 0.0000, 0.2680], [0.5000, 0.0000, 0.7320]],
  "n_ef_per_ev_fu": 3.8,
  "e_form_ev_per_fu": 1.89,
  "space_group": "Cmmm (65)",
  "e_tot_ev_per_atom": -9.323
}